1.
VASP calculation (GGA-PBE) on crystalline Re2TcOs at its relaxed geometry.

a = 4.201 Å, b = 4.201 Å, c = 5.005 Å
α = 65.18°, β = 65.18°, γ = 60.00°
Positions (direct):
Re 0.271 0.271 0.188
Os 0.479 0.479 0.564
Tc 0.674 0.674 0.977
Re 0.076 0.076 0.771

space group = R3m, No. 160
D(E_F) = 3.38 states/eV/f.u.
excess energy over the best structure of this formula in the dataset = 530 meV per atom

---

2.
VASP calculation (GGA-PBE) on crystalline ReTc2Os at its relaxed geometry.

a = 5.541 Å, b = 10.014 Å, c = 4.784 Å
α = 118.59°, β = 90.00°, γ = 90.00°
Positions (direct):
Os 0.563 0.874 0.043
Tc 0.312 0.625 0.958
Tc 0.563 0.377 0.546
Os 0.563 0.626 0.456
Re 0.312 0.124 0.455
Os 0.063 0.126 0.957
Tc 0.063 0.877 0.045
Re 0.812 0.624 0.955
Tc 0.563 0.123 0.955
Tc 0.312 0.875 0.542
Re 0.312 0.376 0.045
Os 0.063 0.374 0.544
Tc 0.063 0.623 0.454
Re 0.812 0.876 0.545
Tc 0.812 0.125 0.458
Tc 0.812 0.375 0.042

space group = C2, No. 5
D(E_F) = 3.50 states/eV/f.u.
excess energy over the best structure of this formula in the dataset = 0 meV per atom